This record from Alexandria via LeMat-Bulk describes MnVH after structural relaxation. The functional is GGA-PBE.

excess energy over the best structure of this formula in the dataset = 365 meV/atom
VASP energy = -6.960 eV/atom

```
data_MnVH
_chemical_formula_sum 'Mn1 V1 H1'
_cell_length_a 3.3466
_cell_length_b 3.3466
_cell_length_c 2.9374
_cell_angle_alpha 90.00
_cell_angle_beta 90.00
_cell_angle_gamma 120.00
_symmetry_space_group_name_H-M 'P 3 m 1'
_symmetry_Int_Tables_number 156
loop_
_symmetry_equiv_pos_as_xyz
'x,y,z'
'-y,x-y,z'
'-x+y,-x,z'
'-y,-x,z'
'-x+y,y,z'
'x,x-y,z'
loop_
_atom_site_label
_atom_site_fract_x
_atom_site_fract_y
_atom_site_fract_z
Mn1 0.0000 0.0000 0.0000
V1 0.3333 0.6667 0.5804
H1 0.6667 0.3333 0.8789
```

=====

This record from Alexandria via LeMat-Bulk describes Mn2VH after structural relaxation. The functional is GGA-PBE.

excess energy over the best structure of this formula in the dataset = 698 meV/atom
VASP energy = -6.857 eV/atom

```
data_Mn2VH
_chemical_formula_sum 'Mn6 V3 H3'
_cell_length_a 3.6377
_cell_length_b 3.6377
_cell_length_c 16.4058
_cell_angle_alpha 90.00
_cell_angle_beta 90.00
_cell_angle_gamma 120.00
_symmetry_space_group_name_H-M 'R -3 m'
_symmetry_Int_Tables_number 166
_symmetry_space_group_name_Hall '-R 3 2"'
loop_
_atom_site_label
_atom_site_fract_x
_atom_site_fract_y
_atom_site_fract_z
Mn1 0.0000 0.0000 0.1014
V1 0.0000 0.0000 0.5000
H1 0.0000 0.0000 0.0000
```

=====

This record from Alexandria via LeMat-Bulk describes MnV2HW after structural relaxation. The functional is GGA-PBE.

VASP energy = -8.786 eV/atom

```
data_MnV2HW
_chemical_formula_sum 'Mn1 V2 H1 W1'
_cell_length_a 4.185
_cell_length_b 4.185
_cell_length_c 3.219
_cell_angle_alpha 90.00
_cell_angle_beta 90.00
_cell_angle_gamma 90.00
_symmetry_space_group_name_H-M 'P 4/m m m'
_symmetry_Int_Tables_number 123
_symmetry_space_group_name_Hall '-P 4 2'
loop_
_atom_site_label
_atom_site_fract_x
_atom_site_fract_y
_atom_site_fract_z
Mn1 0.000 0.000 0.000
V1 0.000 0.500 0.500
H1 0.000 0.000 0.500
W1 0.500 0.500 0.000
```

=====

This record from Alexandria via LeMat-Bulk describes MnV2ZnH after structural relaxation. The functional is GGA-PBE.

VASP energy = -6.428 eV/atom

```
data_MnV2ZnH
_chemical_formula_sum 'Mn1 V2 Zn1 H1'
_cell_length_a 3.796
_cell_length_b 3.796
_cell_length_c 3.673
_cell_angle_alpha 90.00
_cell_angle_beta 90.00
_cell_angle_gamma 90.00
_symmetry_space_group_name_H-M 'P 4/m m m'
_symmetry_Int_Tables_number 123
_symmetry_space_group_name_Hall '-P 4 2'
loop_
_atom_site_label
_atom_site_fract_x
_atom_site_fract_y
_atom_site_fract_z
Mn1 0.000 0.000 0.000
V1 0.000 0.500 0.500
Zn1 0.500 0.500 0.000
H1 0.000 0.000 0.500
```

=====

This record from Alexandria via LeMat-Bulk describes Mn2HW after structural relaxation. The functional is GGA-PBE.

excess energy over the best structure of this formula in the dataset = 451 meV/atom
VASP energy = -7.903 eV/atom

```
data_Mn2HW
_chemical_formula_sum 'Mn8 H4 W4'
_cell_length_a 5.704
_cell_length_b 5.704
_cell_length_c 5.704
_cell_angle_alpha 90.00
_cell_angle_beta 90.00
_cell_angle_gamma 90.00
_symmetry_space_group_name_H-M 'F m -3 m'
_symmetry_Int_Tables_number 225
_symmetry_space_group_name_Hall '-F 4 2 3'
loop_
_atom_site_label
_atom_site_fract_x
_atom_site_fract_y
_atom_site_fract_z
Mn1 0.250 0.250 0.250
H1 0.000 0.000 0.000
W1 0.000 0.000 0.500
```

=====

This record from Alexandria via LeMat-Bulk describes Mn2HW after structural relaxation. The functional is GGA-PBE.

excess energy over the best structure of this formula in the dataset = 758 meV/atom
VASP energy = -7.596 eV/atom

```
data_Mn2HW
_chemical_formula_sum 'Mn6 H3 W3'
_cell_length_a 3.8510
_cell_length_b 3.8510
_cell_length_c 15.4099
_cell_angle_alpha 90.00
_cell_angle_beta 90.00
_cell_angle_gamma 120.00
_symmetry_space_group_name_H-M 'R -3 m'
_symmetry_Int_Tables_number 166
_symmetry_space_group_name_Hall '-R 3 2"'
loop_
_atom_site_label
_atom_site_fract_x
_atom_site_fract_y
_atom_site_fract_z
Mn1 0.0000 0.0000 0.1063
H1 0.0000 0.0000 0.0000
W1 0.0000 0.0000 0.5000
```

=====

This record from Alexandria via LeMat-Bulk describes MnH2W2 after structural relaxation. The functional is GGA-PBE.

VASP energy = -8.160 eV/atom

```
data_MnH2W2
_chemical_formula_sum 'Mn2 H4 W4'
_cell_length_a 2.855
_cell_length_b 2.855
_cell_length_c 11.927
_cell_angle_alpha 90.00
_cell_angle_beta 90.00
_cell_angle_gamma 90.00
_symmetry_space_group_name_H-M 'I 4/m m m'
_symmetry_Int_Tables_number 139
_symmetry_space_group_name_Hall '-I 4 2'
loop_
_atom_site_label
_atom_site_fract_x
_atom_site_fract_y
_atom_site_fract_z
Mn1 0.000 0.000 0.000
H1 0.000 0.500 0.250
W1 0.000 0.000 0.361
```

=====

This record from Alexandria via LeMat-Bulk describes Mn3HW after structural relaxation. The functional is GGA-PBE.

excess energy over the best structure of this formula in the dataset = 1880 meV/atom
VASP energy = -6.823 eV/atom

```
data_Mn3HW
_chemical_formula_sum 'Mn3 H1 W1'
_cell_length_a 4.757
_cell_length_b 4.757
_cell_length_c 4.757
_cell_angle_alpha 90.00
_cell_angle_beta 90.00
_cell_angle_gamma 90.00
_symmetry_space_group_name_H-M 'P m -3 m'
_symmetry_Int_Tables_number 221
_symmetry_space_group_name_Hall '-P 4 2 3'
loop_
_atom_site_label
_atom_site_fract_x
_atom_site_fract_y
_atom_site_fract_z
Mn1 0.000 0.000 0.500
H1 0.500 0.500 0.500
W1 0.000 0.000 0.000
```